Here is an optimized crystal structure of PuInCu from the Alexandria database. Energies are from GGA-PBE.

The space group is Cmcm (No. 63) and the conventional cell measures 4.1086, 13.4388 and 4.5912 Å, with angles of 90.00, 90.00 and 90.00 degrees. The asymmetric unit holds Pu at (0.0000, 0.0628, 0.2500), In at (0.0000, 0.2449, 0.7500) and Cu at (0.0000, 0.3926, 0.2500).

Its mass density is 11.066 g/cm³. For the calculated volume, the calculation gives 21.13 A^3/atom. For the magnetic moment, the calculation gives 5.56 μB per formula unit. The formation enthalpy at 0 K is 0.03 eV per atom.